[1]
## SiC8 (PBE)

Data for an optimized crystal structure of SiC8.

For the total energy, the calculation gives -63.25 eV per formula unit. The calculation puts the density of states at the Fermi level at 2.574 states/eV/f.u. As for the formation energy from raw total energies: 1773.3 meV/atom.

It has space group I4/mmm (No. 139), with a = 5.433 Å, b = 5.433 Å, c = 6.064 Å, α = 90.00°, β = 90.00° and γ = 90.00°. The distinct sites, in fractional coordinates, are Si at (0.000, 0.000, 0.000), C at (0.000, 0.364, 0.000) and C at (0.242, 0.242, 0.000).


[2]
## SiC5 (PBE)

Data for an optimized crystal structure of SiC5.

For the total energy, the calculation gives -33.55 eV per formula unit. The calculation puts the density of states at the Fermi level at 1.238 states/eV/f.u. As for the formation energy from raw total energies: 2999.2 meV/atom.

It has space group P6/mmm (No. 191), with a = 4.7076 Å, b = 4.7076 Å, c = 2.3889 Å, α = 90.00°, β = 90.00° and γ = 120.00°. The distinct sites, in fractional coordinates, are Si at (0.0000, 0.0000, 0.0000), C at (0.0000, 0.5000, 0.5000) and C at (0.3333, 0.6667, 0.0000).


[3]
## SiC2 (PBE)

Data for an optimized crystal structure of SiC2.

For the total energy, the calculation gives -14.82 eV per formula unit. The calculation puts the density of states at the Fermi level at 1.718 states/eV/f.u. As for the formation energy from raw total energies: 3017.5 meV/atom.

It has space group Fd-3m (No. 227, origin choice 2), with a = 6.028 Å, b = 6.028 Å, c = 6.028 Å, α = 90.00°, β = 90.00° and γ = 90.00°. The distinct sites, in fractional coordinates, are Si at (0.125, 0.125, 0.125) and C at (0.000, 0.000, 0.500).


[4]
## SiC (PBE)

Data for an optimized crystal structure of SiC.

For the total energy, the calculation gives -11.91 eV per formula unit. The calculation puts the density of states at the Fermi level at 0.595 states/eV/f.u. As for the formation energy from raw total energies: 1367.8 meV/atom.

It has space group P6_3/mmc (No. 194), with a = 4.6964 Å, b = 4.6964 Å, c = 5.0511 Å, α = 90.00°, β = 90.00° and γ = 120.00°. The distinct sites, in fractional coordinates, are Si at (0.0000, 0.0000, 0.2500), Si at (0.3333, 0.6667, 0.2500) and C at (0.3333, 0.6667, 0.6231).


[5]
## SiC2 (PBE)

Data for an optimized crystal structure of SiC2.

For the total energy, the calculation gives -21.96 eV per formula unit. The calculation puts the density of states at the Fermi level at 0.896 states/eV/f.u. As for the formation energy from raw total energies: 637.6 meV/atom.

It has space group F222 (No. 22), with a = 3.519 Å, b = 4.853 Å, c = 7.350 Å, α = 90.00°, β = 90.00° and γ = 90.00°. The distinct sites, in fractional coordinates, are Si at (0.000, 0.000, 0.000) and C at (0.250, 0.250, 0.657).


[6]
## SiC (PBE)

Data for an optimized crystal structure of SiC.

For the total energy, the calculation gives -15.06 eV per formula unit. The calculation puts the density of states at the Fermi level at 0.000 states/eV/f.u. As for the formation energy from raw total energies: -205.4 meV/atom.

It has space group F-43m (No. 216), with a = 4.379 Å, b = 4.379 Å, c = 4.379 Å, α = 90.00°, β = 90.00° and γ = 90.00°. The distinct sites, in fractional coordinates, are Si at (0.000, 0.000, 0.000) and C at (0.250, 0.250, 0.250).


Question: Which of these has the lowest total energy?
Answer: SiC8